Record 1
Material: BaInN2F
Method: DFT, PBE
State: optimized geometry

Values from the calculation:
Crystal system: tetragonal
E_form (uncorrected): -0.495 eV/atom
Total moment: 1.35 μB/f.u.
DFT total energy: -5.13 eV/atom

Cell and atoms, written as CIF:
```
data_BaInN2F
_chemical_formula_sum 'Ba1 In1 N2 F1'
_cell_length_a 4.2648
_cell_length_b 4.2648
_cell_length_c 4.6601
_cell_angle_alpha 90.00
_cell_angle_beta 90.00
_cell_angle_gamma 90.00
_symmetry_space_group_name_H-M 'P 4/m m m'
_symmetry_Int_Tables_number 123
_symmetry_space_group_name_Hall '-P 4 2'
loop_
_atom_site_label
_atom_site_type_symbol
_atom_site_fract_x
_atom_site_fract_y
_atom_site_fract_z
_atom_site_occupancy
Ba1 Ba 0.0000 0.0000 0.0000 1
In1 In 0.5000 0.5000 0.5000 1
N1 N 0.0000 0.5000 0.5000 1
F1 F 0.5000 0.5000 0.0000 1
```


Record 2
Material: BaInN2F
Method: DFT, PBE
State: optimized geometry

Values from the calculation:
Crystal system: tetragonal
E_form (uncorrected): 0.435 eV/atom
Total moment: 4.00 μB/f.u.
DFT total energy: -4.20 eV/atom

Cell and atoms, written as CIF:
```
data_BaInN2F
_chemical_formula_sum 'Ba1 In1 N2 F1'
_cell_length_a 5.3801
_cell_length_b 5.3801
_cell_length_c 4.9784
_cell_angle_alpha 90.00
_cell_angle_beta 90.00
_cell_angle_gamma 90.00
_symmetry_space_group_name_H-M 'P 4/m m m'
_symmetry_Int_Tables_number 123
_symmetry_space_group_name_Hall '-P 4 2'
loop_
_atom_site_label
_atom_site_type_symbol
_atom_site_fract_x
_atom_site_fract_y
_atom_site_fract_z
_atom_site_occupancy
Ba1 Ba 0.0000 0.0000 0.0000 1
In1 In 0.5000 0.5000 0.5000 1
N1 N 0.0000 0.5000 0.0000 1
F1 F 0.0000 0.0000 0.5000 1
```


Record 3
Material: BaNaInF6
Method: DFT, PBE
State: optimized geometry

Values from the calculation:
Crystal system: orthorhombic
E_form (uncorrected): -3.005 eV/atom
Total moment: 0.09 μB/f.u.
DFT total energy: -4.92 eV/atom

Cell and atoms, written as CIF:
```
data_BaNaInF6
_chemical_formula_sum 'Ba4 Na4 In4 F24'
_cell_length_a 7.3970
_cell_length_b 7.8163
_cell_length_c 10.4854
_cell_angle_alpha 90.00
_cell_angle_beta 90.00
_cell_angle_gamma 90.00
_symmetry_space_group_name_H-M 'I m m a'
_symmetry_Int_Tables_number 74
_symmetry_space_group_name_Hall '-I 2b 2'
loop_
_atom_site_label
_atom_site_type_symbol
_atom_site_fract_x
_atom_site_fract_y
_atom_site_fract_z
_atom_site_occupancy
Ba1 Ba 0.0000 0.2500 0.1436 1
Na1 Na 0.2500 0.2500 0.7500 1
In1 In 0.0000 0.0000 0.5000 1
F1 F 0.0000 0.2500 0.5909 1
F2 F 0.0000 0.2500 0.8959 1
F3 F 0.1932 0.0653 0.3666 1
```


Record 4
Material: BaNa2InF
Method: DFT, PBE
State: optimized geometry

Values from the calculation:
Crystal system: tetragonal
E_form (uncorrected): -1.127 eV/atom
Total moment: 0.60 μB/f.u.
DFT total energy: -2.96 eV/atom

Cell and atoms, written as CIF:
```
data_BaNa2InF
_chemical_formula_sum 'Ba1 Na2 In1 F1'
_cell_length_a 5.1740
_cell_length_b 5.1740
_cell_length_c 5.3975
_cell_angle_alpha 90.00
_cell_angle_beta 90.00
_cell_angle_gamma 90.00
_symmetry_space_group_name_H-M 'P 4/m m m'
_symmetry_Int_Tables_number 123
_symmetry_space_group_name_Hall '-P 4 2'
loop_
_atom_site_label
_atom_site_type_symbol
_atom_site_fract_x
_atom_site_fract_y
_atom_site_fract_z
_atom_site_occupancy
Ba1 Ba 0.0000 0.0000 0.0000 1
Na1 Na 0.0000 0.5000 0.5000 1
In1 In 0.5000 0.5000 0.0000 1
F1 F 0.0000 0.0000 0.5000 1
```